# Pr5Sm4Tm2

A relaxed Pr5Sm4Tm2 crystal (GGA-PBE, Alexandria via LeMat-Bulk).

Cell lengths 3.5420, 9.4086, 12.8008 Å; angles 111.56, 97.95, 90.00 degrees
Last column: nearest neighbours and their distance in Å.
Fractional coordinates of all 11 atoms:
1 Sm 0.4036 0.4036 0.8071  1 Tm 3.14, 4 Sm 3.42
2 Sm 0.5964 0.5964 0.1929  1 Tm 3.14, 4 Sm 3.42
3 Sm 0.0000 0.3037 0.0000  4 Pr 3.36-3.67, 7 Sm 3.42-3.69
4 Sm 0.0000 0.6963 0.0000  4 Pr 3.36-3.67, 7 Sm 3.42-3.69
5 Pr 0.1508 0.9450 0.3016  3 Tm 3.41-3.78, 3 Sm 3.53-3.67, 2 Pr 3.54
6 Pr 0.1508 0.3566 0.3016  3 Tm 3.41-3.78, 3 Sm 3.53-3.67, 2 Pr 3.54
7 Pr 0.8492 0.0550 0.6984  3 Tm 3.41-3.78, 3 Sm 3.53-3.67, 2 Pr 3.54
8 Pr 0.5000 0.0000 0.0000  4 Sm 3.36, 2 Pr 3.54
9 Pr 0.8492 0.6434 0.6984  3 Tm 3.41-3.78, 3 Sm 3.53-3.67, 2 Pr 3.54
10 Tm 0.2701 0.2701 0.5402  1 Sm 3.14, 2 Pr 3.41
11 Tm 0.7299 0.7299 0.4598  1 Sm 3.14, 2 Pr 3.41

Summary:
Final energy: -4.48 eV per atom
N(E_F): 1.5818 states/eV per atom
Calculated volume: 392.33 Å³/cell
ΔE to the lowest computed polymorph: 78.5 meV/atom
Formation energy: 0.2195 eV/atom